[1]
MgFeP2Ru: optimized geometry, GGA-PBE.

abc: 5.305 5.305 5.305
angles: 136.20 136.20 63.67
Atoms (fractional coordinates):
Mg1 0.000 0.000 0.000
Fe1 0.750 0.250 0.500
P1 0.375 0.375 0.000
P2 0.625 0.625 0.000
Ru1 0.250 0.750 0.500

Calculated values
Symmetry: I-4m2
Calculated formation energy: -597.5 meV per atom

[2]
Ac2Pr2Ge3: optimized geometry, GGA-PBE.

abc: 4.348 7.549 7.970
angles: 99.29 90.00 106.72
Atoms (fractional coordinates):
Ac1 0.130 0.259 0.366
Ac2 0.870 0.741 0.634
Pr1 0.370 0.739 0.101
Pr2 0.630 0.261 0.899
Ge1 0.000 0.000 0.000
Ge2 0.238 0.477 0.749
Ge3 0.762 0.523 0.251

Calculated values
Symmetry: P-1
Calculated formation energy: -570.6 meV per atom

[3]
Y2Zn4Ga3Cu: optimized geometry, GGA-PBE.

abc: 4.162 4.162 10.493
angles: 90.00 90.00 90.00
Atoms (fractional coordinates):
Y1 0.000 0.500 0.246
Y2 0.500 0.000 0.754
Zn1 0.000 0.000 0.500
Zn2 0.000 0.500 0.871
Zn3 0.500 0.000 0.129
Zn4 0.500 0.500 0.500
Ga1 0.000 0.000 0.000
Ga2 0.000 0.500 0.641
Ga3 0.500 0.000 0.359
Cu1 0.500 0.500 0.000

Calculated values
Symmetry: P-4m2
Calculated formation energy: -395.0 meV per atom

[4]
BaICl: optimized geometry, GGA-PBE.

abc: 8.916 8.916 8.916
angles: 143.68 143.68 52.31
Atoms (fractional coordinates):
Ba1 0.143 0.143 0.000
Ba2 0.857 0.857 0.000
I1 0.000 0.500 0.500
I2 0.500 0.000 0.500
Cl1 0.250 0.750 0.500
Cl2 0.750 0.250 0.500

Calculated values
Symmetry: I4/mmm
Raw total energy: -11.6 eV per formula unit